[1]
The following is a PBE calculation of a relaxed structure of TbUSbI2, from OQMD via LeMat-Bulk.

The crystal system is trigonal. The uncorrected energy is -5.477 eV/atom.

It has space group P3m1 (No. 156), with a = 4.2737 Å, b = 4.2737 Å, c = 11.6350 Å, α = 90.00°, β = 90.00° and γ = 120.00°. Symmetry generates all atoms from Tb at (0.0000, 0.0000, 0.0000), U at (0.3333, 0.6667, 0.3078), Sb at (0.6667, 0.3333, 0.1501), I at (0.0000, 0.0000, 0.4815) and I at (0.3333, 0.6667, 0.8294).

---

[2]
The following is a PBE calculation of a relaxed structure of TbYSbI2, from OQMD via LeMat-Bulk.

The crystal system is trigonal. The uncorrected energy is -4.945 eV/atom.

It has space group P3m1 (No. 156), with a = 4.3502 Å, b = 4.3502 Å, c = 11.2119 Å, α = 90.00°, β = 90.00° and γ = 120.00°. Symmetry generates all atoms from Tb at (0.0000, 0.0000, 0.0000), Y at (0.3333, 0.6667, 0.3025), Sb at (0.6667, 0.3333, 0.1515), I at (0.0000, 0.0000, 0.4753) and I at (0.3333, 0.6667, 0.8272).

---

[3]
The following is a PBE calculation of a relaxed structure of TmUSbI2, from OQMD via LeMat-Bulk.

The crystal system is trigonal. The uncorrected energy is -5.407 eV/atom.

It has space group P3m1 (No. 156), with a = 4.2291 Å, b = 4.2291 Å, c = 11.5906 Å, α = 90.00°, β = 90.00° and γ = 120.00°. Symmetry generates all atoms from Tm at (0.0000, 0.0000, 0.0000), U at (0.3333, 0.6667, 0.3069), Sb at (0.6667, 0.3333, 0.1457), I at (0.0000, 0.0000, 0.4832) and I at (0.3333, 0.6667, 0.8322).

---

Question: Among the records above, which one has the highest uncorrected energy?
Answer: TbYSbI2

---

Question: Which of these has the highest uncorrected energy?
Answer: TbYSbI2